This record from Alexandria via LeMat-Bulk describes a geometry-optimized Co2CuTc structure. The functional is PBE-GGA.

Cell: 4.142 4.142 2.875 Å, 90.00 90.00 90.00°
Positions (direct):
Co (0.000, 0.000, 0.000)
Co (0.500, 0.500, 0.000)
Cu (0.500, 0.000, 0.500)
Tc (0.000, 0.500, 0.500)

Output
- Volume: 49 Å³/cell
- Formation enthalpy at 0 K: 0.300 eV/atom
- DFT total energy: -6.868 eV per atom

---

This record from Alexandria via LeMat-Bulk describes a geometry-optimized BaSc2Cu structure. The functional is PBE-GGA.

Cell: 4.460 4.460 7.417 Å, 72.49 72.49 59.97°
Positions (direct):
Ba (0.503, 0.503, 0.492)
Cu (0.327, 0.327, 0.017)
Sc (0.959, 0.959, 0.123)
Sc (0.710, 0.710, 0.869)

Output
- Volume: 120 Å³/cell
- Formation enthalpy at 0 K: 0.178 eV/atom
- DFT total energy: -4.493 eV per atom

---

This record from Alexandria via LeMat-Bulk describes a geometry-optimized HfInAg structure. The functional is PBE-GGA.

Cell: 3.147 3.147 6.596 Å, 103.80 103.80 90.00°
Positions (direct):
Hf (0.996, 0.996, 0.992)
Ag (0.334, 0.334, 0.668)
In (0.670, 0.670, 0.340)

Output
- Volume: 61 Å³/cell
- Formation enthalpy at 0 K: -0.059 eV/atom
- DFT total energy: -5.240 eV per atom

---

This record from Alexandria via LeMat-Bulk describes a geometry-optimized HfCrCuS4 structure. The functional is PBE-GGA.

Cell: 3.513 11.646 14.086 Å, 90.78 90.00 90.00°
Positions (direct):
Hf (0.500, 0.107, 0.945)
Hf (0.000, 0.836, 0.637)
Hf (0.500, 0.168, 0.364)
Hf (0.500, 0.668, 0.136)
Cr (0.000, 0.888, 0.049)
Cr (0.500, 0.615, 0.548)
Cr (0.000, 0.392, 0.449)
Cr (0.000, 0.337, 0.864)
Cu (0.500, 0.918, 0.477)
Cu (0.000, 0.090, 0.525)
Cu (0.000, 0.560, 0.977)
Cu (0.500, 0.398, 0.024)
S (0.500, 0.997, 0.631)
S (0.000, 0.008, 0.372)
S (0.000, 0.509, 0.134)
S (0.500, 0.483, 0.876)
S (0.000, 0.970, 0.890)
S (0.500, 0.011, 0.105)
S (0.500, 0.514, 0.402)
S (0.000, 0.493, 0.594)
S (0.000, 0.796, 0.204)
S (0.500, 0.225, 0.798)
S (0.500, 0.713, 0.706)
S (0.000, 0.289, 0.292)
S (0.500, 0.755, 0.984)
S (0.000, 0.251, 0.015)
S (0.000, 0.753, 0.481)
S (0.500, 0.255, 0.519)

Output
- Volume: 576 Å³/cell
- DFT total energy: -6.594 eV per atom
- E_form (uncorrected): -19.68 kcal/mol of atoms

---

This record from Alexandria via LeMat-Bulk describes a geometry-optimized Rb2IrO2F4 structure. The functional is PBE-GGA.

Cell: 4.960 6.043 6.043 Å, 61.32 88.36 88.36°
Positions (direct):
Rb (0.202, 0.666, 0.666)
Rb (0.798, 0.334, 0.334)
Ir (0.500, 0.000, 0.000)
O (0.271, 0.139, 0.139)
O (0.729, 0.861, 0.861)
F (0.291, 0.682, 0.155)
F (0.709, 0.845, 0.318)
F (0.709, 0.318, 0.845)
F (0.291, 0.155, 0.682)

Output
- Volume: 159 Å³/cell
- DFT total energy: -4.935 eV per atom
- E_form (uncorrected): -41.55 kcal/mol of atoms

---

This record from Alexandria via LeMat-Bulk describes a geometry-optimized HfTlN2F structure. The functional is PBE-GGA.

Cell: 4.273 4.273 4.199 Å, 90.00 90.00 90.00°
Positions (direct):
Tl (0.500, 0.500, 0.500)
N (0.000, 0.500, 0.000)
N (0.500, 0.000, 0.000)
Hf (0.000, 0.000, 0.000)
F (0.000, 0.000, 0.500)

Output
- Volume: 77 Å³/cell
- DFT total energy: -6.955 eV per atom
- E_form (uncorrected): -18.14 kcal/mol of atoms

---

This record from Alexandria via LeMat-Bulk describes a geometry-optimized K3Ho3SnS8 structure. The functional is PBE-GGA.

Cell: 7.927 7.928 8.807 Å, 116.76 90.00 120.00°
Positions (direct):
K (0.000, 0.000, 0.000)
K (0.000, 0.500, 0.000)
K (0.500, 0.500, 0.000)
Ho (0.500, 0.000, 0.500)
Ho (0.500, 0.500, 0.500)
Ho (0.000, 0.500, 0.500)
Sn (0.000, 0.000, 0.500)
S (0.267, 0.534, 0.302)
S (0.733, 0.466, 0.698)
S (0.776, 0.551, 0.306)
S (0.224, 0.449, 0.694)
S (0.776, 0.030, 0.306)
S (0.224, 0.970, 0.694)
S (0.254, 0.030, 0.306)
S (0.746, 0.970, 0.694)

Output
- Volume: 409 Å³/cell
- DFT total energy: -5.181 eV per atom
- E_form (uncorrected): -36.38 kcal/mol of atoms

---

This record from Alexandria via LeMat-Bulk describes a geometry-optimized CsTlP2Se structure. The functional is PBE-GGA.

Cell: 5.187 5.187 7.893 Å, 90.00 90.00 90.00°
Positions (direct):
Cs (0.000, 0.000, 0.500)
P (0.000, 0.500, 0.000)
P (0.500, 0.000, 0.000)
Tl (0.000, 0.000, 0.000)
Se (0.500, 0.500, 0.500)

Output
- Volume: 212 Å³/cell
- DFT total energy: -2.696 eV per atom
- E_form (uncorrected): 18.65 kcal/mol of atoms

---

This record from Alexandria via LeMat-Bulk describes a geometry-optimized La4Tb2SmHo structure. The functional is PBE-GGA.

Cell: 5.257 5.216 11.342 Å, 62.59 90.00 90.00°
Positions (direct):
La (0.000, 0.752, 0.748)
La (0.000, 0.248, 0.252)
La (0.500, 0.748, 0.252)
La (0.500, 0.252, 0.748)
Tb (0.000, 0.000, 0.000)
Tb (0.500, 0.000, 0.500)
Sm (0.500, 0.500, 0.000)
Ho (0.000, 0.500, 0.500)

Output
- Volume: 276 Å³/cell
- Formation enthalpy at 0 K: 0.018 eV/atom
- DFT total energy: -4.765 eV per atom

---

This record from Alexandria via LeMat-Bulk describes a geometry-optimized Pr2MgRu structure. The functional is PBE-GGA.

Cell: 4.148 5.759 5.759 Å, 56.83 68.94 68.94°
Positions (direct):
Pr (0.045, 0.955, 0.956)
Pr (0.455, 0.544, 0.545)
Mg (0.250, 0.250, 0.250)
Ru (0.750, 0.750, 0.750)

Output
- Volume: 105 Å³/cell
- Formation enthalpy at 0 K: -0.013 eV/atom
- DFT total energy: -5.121 eV per atom

---

This record from Alexandria via LeMat-Bulk describes a geometry-optimized KHf2TeO8 structure. The functional is PBE-GGA.

Cell: 4.849 4.846 6.955 Å, 90.00 90.00 88.06°
Positions (direct):
K (0.000, 0.000, 0.500)
Hf (0.500, 0.500, 0.763)
Hf (0.500, 0.500, 0.237)
Te (0.000, 0.000, 0.000)
O (0.201, 0.799, 0.196)
O (0.709, 0.710, 0.000)
O (0.800, 0.201, 0.196)
O (0.799, 0.201, 0.804)
O (0.291, 0.290, 0.000)
O (0.200, 0.799, 0.804)
O (0.650, 0.650, 0.500)
O (0.350, 0.350, 0.500)

Output
- Volume: 163 Å³/cell
- DFT total energy: -7.460 eV per atom
- E_form (uncorrected): -49.39 kcal/mol of atoms

---

This record from Alexandria via LeMat-Bulk describes a geometry-optimized SrCaZn2Ag2 structure. The functional is PBE-GGA.

Cell: 4.675 4.675 7.803 Å, 90.00 90.00 120.00°
Positions (direct):
Sr (0.000, 0.000, 0.000)
Ca (0.000, 0.000, 0.500)
Zn (0.667, 0.333, 0.722)
Zn (0.333, 0.667, 0.278)
Ag (0.667, 0.333, 0.280)
Ag (0.333, 0.667, 0.720)

Output
- Volume: 148 Å³/cell
- Formation enthalpy at 0 K: -0.285 eV/atom
- DFT total energy: -2.274 eV per atom

---

Look up the DFT total energy of the seventh one.
-5.181 eV per atom

---

Which of these has the highest volume?
HfCrCuS4

---

The lowest DFT total energy belongs to which entry?
KHf2TeO8

---

The lowest volume belongs to which entry?
Co2CuTc